Fe3CoF PBE+U optimized geometry; calculated volume = 18.000 Å³ per atom; symmetry = Pm-3m, No. 221; E_tot = -18.7 eV/cell
1.0
4.481 0.000 0.000
0.000 4.481 0.000
0.000 0.000 4.481
Co Fe F
1 3 1
Direct
0.000 0.000 0.000 Co
0.000 0.500 0.000 Fe
0.000 0.000 0.500 Fe
0.500 0.000 0.000 Fe
0.500 0.500 0.500 F